A geometry-optimized LiMo3As structure. Source: Alexandria, functional PBE.

a = 4.656 Å, b = 4.656 Å, c = 4.656 Å
α = 90.00°, β = 90.00°, γ = 90.00°
Space group Pm-3m (No. 221)
Symmetry-distinct sites (fractional):
Li  0.000  0.000  0.000 (multiplicity 1)
Mo  0.000  0.500  0.500 (multiplicity 3)
As  0.500  0.500  0.500 (multiplicity 1)

* V: 20.19 Å³ per atom
* uncorrected energy: -32.91 eV/cell
* M_tot: 0.000 μB per cell
* density of states at the Fermi level: 8.6 states/eV/cell
* E_form: 1.23 eV/atom



A geometry-optimized Li4MoAs structure. Source: Alexandria, functional PBE.

a = 7.061 Å, b = 7.061 Å, c = 7.061 Å
α = 90.00°, β = 90.00°, γ = 90.00°
Space group F-43m (No. 216)
Symmetry-distinct sites (fractional):
Li  0.124  0.124  0.124 (multiplicity 16)
Mo  0.250  0.250  0.750 (multiplicity 4)
As  0.000  0.000  0.500 (multiplicity 4)

* V: 14.67 Å³ per atom
* uncorrected energy: -84.68 eV/cell
* M_tot: 12.235 μB per cell
* density of states at the Fermi level: 17.0 states/eV/cell
* E_form: 0.33 eV/atom



A geometry-optimized LiMoAs2 structure. Source: Alexandria, functional PBE.

a = 3.665 Å, b = 4.623 Å, c = 7.204 Å
α = 90.00°, β = 90.00°, γ = 90.00°
Space group Immm (No. 71)
Symmetry-distinct sites (fractional):
Li  0.000  0.000  0.000 (multiplicity 2)
Mo  0.000  0.000  0.500 (multiplicity 2)
As  0.000  0.500  0.265 (multiplicity 4)

* V: 15.26 Å³ per atom
* uncorrected energy: -45.13 eV/cell
* M_tot: 0.000 μB per cell
* density of states at the Fermi level: 4.5 states/eV/cell
* E_form: -0.13 eV/atom



A geometry-optimized LiMoAs2 structure. Source: Alexandria, functional PBE.

a = 3.196 Å, b = 3.164 Å, c = 6.580 Å
α = 90.00°, β = 90.84°, γ = 90.00°
Space group P2/m (No. 10)
Symmetry-distinct sites (fractional):
Li  0.000  0.000  0.000 (multiplicity 1)
Mo  0.000  0.000  0.500 (multiplicity 1)
As  0.494  0.500  0.278 (multiplicity 2)

* V: 16.63 Å³ per atom
* uncorrected energy: -23.35 eV/cell
* M_tot: 0.000 μB per cell
* density of states at the Fermi level: 1.4 states/eV/cell
* E_form: -0.33 eV/atom



A geometry-optimized LiMoAs2 structure. Source: Alexandria, functional PBE.

a = 3.717 Å, b = 3.717 Å, c = 9.118 Å
α = 90.00°, β = 90.00°, γ = 90.00°
Space group I-4m2 (No. 119)
Symmetry-distinct sites (fractional):
Li  0.000  0.000  0.000 (multiplicity 2)
Mo  0.000  0.500  0.750 (multiplicity 2)
As  0.000  0.000  0.500 (multiplicity 2)
As  0.000  0.500  0.250 (multiplicity 2)

* V: 15.75 Å³ per atom
* uncorrected energy: -44.17 eV/cell
* M_tot: 1.130 μB per cell
* density of states at the Fermi level: 6.0 states/eV/cell
* E_form: -0.01 eV/atom



A geometry-optimized LiMoAs2 structure. Source: Alexandria, functional PBE.

a = 3.537 Å, b = 3.537 Å, c = 5.090 Å
α = 90.00°, β = 90.00°, γ = 90.00°
Space group P4mm (No. 99)
Symmetry-distinct sites (fractional):
Li  0.000  0.000  0.000 (multiplicity 1)
Mo  0.500  0.500  0.311 (multiplicity 1)
As  0.000  0.000  0.495 (multiplicity 1)
As  0.500  0.500  0.834 (multiplicity 1)

* V: 15.92 Å³ per atom
* uncorrected energy: -22.54 eV/cell
* M_tot: 0.000 μB per cell
* density of states at the Fermi level: 1.8 states/eV/cell
* E_form: -0.12 eV/atom



A geometry-optimized LiMoAs2 structure. Source: Alexandria, functional PBE.

a = 6.357 Å, b = 6.357 Å, c = 6.357 Å
α = 90.00°, β = 90.00°, γ = 90.00°
Space group F-43m (No. 216)
Symmetry-distinct sites (fractional):
Li  0.000  0.000  0.000 (multiplicity 4)
Mo  0.250  0.250  0.250 (multiplicity 4)
As  0.000  0.000  0.500 (multiplicity 4)
As  0.250  0.250  0.750 (multiplicity 4)

* V: 16.05 Å³ per atom
* uncorrected energy: -82.09 eV/cell
* M_tot: 4.274 μB per cell
* density of states at the Fermi level: 16.1 states/eV/cell
* E_form: 0.38 eV/atom



A geometry-optimized LiMoAs2 structure. Source: Alexandria, functional PBE.

a = 3.175 Å, b = 3.438 Å, c = 13.343 Å
α = 90.00°, β = 90.00°, γ = 90.00°
Space group Imm2 (No. 44)
Symmetry-distinct sites (fractional):
Li  0.000  0.000  0.000 (multiplicity 2)
Mo  0.000  0.500  0.747 (multiplicity 2)
As  0.000  0.000  0.392 (multiplicity 2)
As  0.000  0.500  0.163 (multiplicity 2)

* V: 18.20 Å³ per atom
* uncorrected energy: -45.96 eV/cell
* M_tot: 0.000 μB per cell
* density of states at the Fermi level: 4.6 states/eV/cell
* E_form: -0.23 eV/atom



Q: Number 4 is which compound?
A: LiMoAs2



Q: Which of these has the highest uncorrected energy?
A: number 6